PmCoGe | PBE | relaxed

Unit cell a=4.415 b=4.415 c=4.415 alpha=60.00 beta=60.00 gamma=60.00
Positions (direct):
Pm1 0.000 0.000 0.000
Co1 0.750 0.750 0.750
Ge1 0.500 0.500 0.500

---

PmCoGe2 | PBE | relaxed

Unit cell a=6.929 b=4.179 c=10.286 alpha=90.00 beta=90.00 gamma=90.00
Positions (direct):
Pm1 0.173 0.250 0.127
Pm2 0.327 0.750 0.627
Pm3 0.673 0.250 0.373
Pm4 0.827 0.750 0.873
Co1 0.011 0.750 0.369
Co2 0.489 0.250 0.869
Co3 0.511 0.750 0.131
Co4 0.989 0.250 0.631
Ge1 0.147 0.250 0.828
Ge2 0.151 0.250 0.431
Ge3 0.349 0.750 0.931
Ge4 0.353 0.750 0.328
Ge5 0.647 0.250 0.672
Ge6 0.651 0.250 0.069
Ge7 0.849 0.750 0.569
Ge8 0.853 0.750 0.172

---

PmCoGe | PBE | relaxed

Unit cell a=7.253 b=4.372 c=6.931 alpha=90.00 beta=90.00 gamma=90.00
Positions (direct):
Pm1 0.024 0.250 0.184
Pm2 0.476 0.750 0.684
Pm3 0.524 0.250 0.316
Pm4 0.976 0.750 0.816
Co1 0.140 0.750 0.432
Co2 0.360 0.250 0.932
Co3 0.640 0.750 0.068
Co4 0.860 0.250 0.568
Ge1 0.193 0.250 0.609
Ge2 0.307 0.750 0.109
Ge3 0.693 0.250 0.891
Ge4 0.807 0.750 0.391

---

Pm3Co2Ge7 | PBE | relaxed

Unit cell a=4.221 b=4.267 c=12.937 alpha=90.00 beta=99.38 gamma=90.00
Positions (direct):
Pm1 0.000 0.000 0.000
Pm2 0.315 0.500 0.631
Pm3 0.685 0.500 0.369
Co1 0.128 0.000 0.257
Co2 0.872 0.000 0.743
Ge1 0.090 0.500 0.180
Ge2 0.219 0.000 0.439
Ge3 0.411 0.000 0.820
Ge4 0.500 0.500 0.000
Ge5 0.589 0.000 0.180
Ge6 0.781 0.000 0.561
Ge7 0.910 0.500 0.820

---

PrCo2Ge2 | PBE | relaxed

Unit cell a=5.896 b=5.896 c=5.896 alpha=139.94 beta=139.94 gamma=57.94
Positions (direct):
Pr1 0.000 0.000 0.000
Co1 0.250 0.750 0.500
Co2 0.750 0.250 0.500
Ge1 0.367 0.367 0.000
Ge2 0.633 0.633 0.000

---

PrCoSiGe2 | PBE | relaxed

Unit cell a=5.754 b=5.754 c=5.754 alpha=136.15 beta=136.15 gamma=63.74
Positions (direct):
Pr1 0.000 0.000 0.000
Co1 0.657 0.657 0.000
Si1 0.430 0.430 0.000
Ge1 0.259 0.759 0.500
Ge2 0.759 0.259 0.500

---

PrCo2SiGe | PBE | relaxed

Unit cell a=5.828 b=5.828 c=5.828 alpha=139.82 beta=139.82 gamma=58.12
Positions (direct):
Pr1 0.000 0.000 0.000
Co1 0.256 0.756 0.500
Co2 0.756 0.256 0.500
Si1 0.363 0.363 0.000
Ge1 0.631 0.631 0.000

---

Pr2Co2SiGe | PBE | relaxed

Unit cell a=4.107 b=4.107 c=7.012 alpha=90.00 beta=90.00 gamma=90.00
Positions (direct):
Pr1 0.000 0.000 0.000
Pr2 0.500 0.500 0.372
Co1 0.000 0.500 0.680
Co2 0.500 0.000 0.680
Si1 0.000 0.000 0.517
Ge1 0.500 0.500 0.864

---

PrSmCo2Ge2 | PBE | relaxed

Unit cell a=4.152 b=4.152 c=6.846 alpha=90.00 beta=90.00 gamma=90.00
Positions (direct):
Pr1 0.000 0.000 0.000
Sm1 0.500 0.500 0.624
Co1 0.000 0.500 0.319
Co2 0.500 0.000 0.319
Ge1 0.000 0.000 0.506
Ge2 0.500 0.500 0.133

---

Co2GePt | PBE | relaxed

Unit cell a=4.208 b=4.208 c=4.208 alpha=60.00 beta=60.00 gamma=60.00
Positions (direct):
Co1 0.000 0.000 0.000
Co2 0.250 0.250 0.250
Ge1 0.500 0.500 0.500
Pt1 0.750 0.750 0.750

---

CoGePt2 | PBE | relaxed

Unit cell a=4.347 b=4.347 c=4.347 alpha=60.00 beta=60.00 gamma=60.00
Positions (direct):
Co1 0.000 0.000 0.000
Ge1 0.750 0.750 0.750
Pt1 0.250 0.250 0.250
Pt2 0.500 0.500 0.500

---

ScCoGePt | PBE | relaxed

Unit cell a=4.461 b=4.461 c=4.461 alpha=60.00 beta=60.00 gamma=60.00
Positions (direct):
Sc1 0.000 0.000 0.000
Co1 0.500 0.500 0.500
Ge1 0.250 0.250 0.250
Pt1 0.750 0.750 0.750

---

Result set for VASP energy: -5.756, -5.912, -6.081, -5.694, -6.227, -5.889, -6.468, -6.263, -6.099, -6.223, -5.958, -6.412 eV per atom, one per record in the order listed.